Entry 1:
Computed, not measured: Al2Cu5Ni after structural relaxation at the PBE-GGA level of DFT.

Calculated values
**Energy**: -66.35 eV for the cell shown

Lattice parameters (Å, degrees): 7.2048 7.2048 7.2048 133.63 133.63 67.67
Closest atoms and distances in Å follow each position.
Atoms (fractional coordinates):
Cu 0.1244 0.6250 0.9994  4 Al 2.49-2.51, 2 Ni 2.50, 2 Cu 2.50
Cu 0.5000 0.0000 0.5000  8 Cu 2.50
Al 0.9990 0.9990 0.0000  8 Cu 2.49-2.51
Cu 0.3750 0.8744 0.9994  4 Al 2.49-2.51, 2 Ni 2.50, 2 Cu 2.50
Cu 0.8750 0.3756 0.0006  4 Al 2.49-2.51, 2 Ni 2.50, 2 Cu 2.50
Cu 0.1244 0.1250 0.4994  4 Al 2.49-2.51, 2 Ni 2.50, 2 Cu 2.50
Cu 0.8750 0.8744 0.4994  4 Al 2.49-2.51, 2 Ni 2.50, 2 Cu 2.50
Al 0.5010 0.5010 0.0000  8 Cu 2.49-2.51
Ni 0.7500 0.7500 0.0000  8 Cu 2.50
Al 0.7510 0.2510 0.5000  8 Cu 2.49-2.51
Cu 0.2500 0.2500 0.0000  8 Cu 2.50
Cu 0.6256 0.1250 0.0006  4 Al 2.49-2.51, 2 Ni 2.50, 2 Cu 2.50
Cu 0.3750 0.3756 0.5006  4 Al 2.49-2.51, 2 Ni 2.50, 2 Cu 2.50
Al 0.2490 0.7490 0.5000  8 Cu 2.49-2.51
Ni 0.0000 0.5000 0.5000  8 Cu 2.50
Cu 0.6256 0.6250 0.5006  4 Al 2.49-2.51, 2 Ni 2.50, 2 Cu 2.50

***

Entry 2:
Computed, not measured: Lu2Ta4Bi3C3 after structural relaxation at the PBE-GGA level of DFT.

Calculated values
**Energy**: -199.98 eV for the cell shown

Lattice parameters (Å, degrees): 5.9713 5.9713 14.3649 102.03 102.03 60.47
Closest atoms and distances in Å follow each position.
Atoms (fractional coordinates):
Ta 0.3071 0.1507 0.4276  3 C 2.22-2.23
C 0.3278 0.8447 0.5000  4 Ta 2.22-2.24, 2 Lu 2.40-2.41
Ta 0.0177 0.1990 0.5724  3 C 2.21-2.24
Ta 0.1990 0.0177 0.0724  3 C 2.21-2.24
C 0.8447 0.3278 0.0000  4 Ta 2.22-2.24, 2 Lu 2.40-2.41
Bi 0.0601 0.9399 0.7500  2 Lu 3.09, 4 Ta 3.14-3.16, 4 Bi 3.31-3.35
Ta 0.8010 0.9823 0.9276  3 C 2.21-2.24
Bi 0.2226 0.4159 0.2481  2 Lu 3.05-3.07, 4 Ta 3.12-3.14, 4 Bi 3.31-3.35
Bi 0.4159 0.2226 0.7481  2 Lu 3.05-3.07, 4 Ta 3.12-3.14, 4 Bi 3.31-3.35
Ta 0.8493 0.6929 0.0724  3 C 2.22-2.23
Lu 0.5309 0.3741 0.0929  3 C 2.40-2.42
Bi 0.7774 0.5841 0.7519  2 Lu 3.05-3.07, 4 Ta 3.12-3.14, 4 Bi 3.31-3.35
C 0.0000 0.5000 0.5000  4 Ta 2.21-2.22, 2 Lu 2.42
Bi 0.9399 0.0601 0.2500  2 Lu 3.09, 4 Ta 3.14-3.16, 4 Bi 3.31-3.35
Ta 0.9823 0.8010 0.4276  3 C 2.21-2.24
Ta 0.6929 0.8493 0.5724  3 C 2.22-2.23
Lu 0.3741 0.5309 0.5929  3 C 2.40-2.42
Ta 0.1507 0.3071 0.9276  3 C 2.22-2.23
Lu 0.6259 0.4691 0.4071  3 C 2.40-2.42
Bi 0.5841 0.7774 0.2519  2 Lu 3.05-3.07, 4 Ta 3.12-3.14, 4 Bi 3.31-3.35
C 0.6722 0.1553 0.5000  4 Ta 2.22-2.24, 2 Lu 2.40-2.41
C 0.1553 0.6722 0.0000  4 Ta 2.22-2.24, 2 Lu 2.40-2.41
C 0.5000 0.0000 0.0000  4 Ta 2.21-2.22, 2 Lu 2.42
Lu 0.4691 0.6259 0.9071  3 C 2.40-2.42

***

Entry 3:
Computed, not measured: Pr2Y2CI2Br2Cl after structural relaxation at the PBE-GGA level of DFT.

Calculated values
**Energy**: -53.15 eV for the cell shown
**Energy relative to the lowest polymorph listed for this composition**: 37.0 meV/atom

Lattice parameters (Å, degrees): 9.4581 9.4581 8.2453 101.52 101.52 23.85
Closest atoms and distances in Å follow each position.
Atoms (fractional coordinates):
Cl 0.5000 0.5000 0.5000  4 Y 3.13
Y 0.9980 0.9980 0.2025  2 C 2.58
Pr 0.3601 0.3601 0.9333  1 C 2.53
Br 0.1641 0.1641 0.8076  1 Y 2.98, 2 Pr 3.00
I 0.1625 0.1625 0.3685  1 Y 3.07, 2 Pr 3.12
Pr 0.6399 0.6399 0.0667  1 C 2.53
I 0.8375 0.8375 0.6315  1 Y 3.07, 2 Pr 3.12
C 0.5000 0.5000 0.0000  2 Pr 2.53, 4 Y 2.58
Br 0.8359 0.8359 0.1924  1 Y 2.98, 2 Pr 3.00
Y 0.0020 0.0020 0.7975  2 C 2.58

***

Entry 4:
Computed, not measured: FeSiPtAu after structural relaxation at the PBE-GGA level of DFT.

Calculated values
**Energy**: -22.97 eV for the cell shown
**Energy relative to the lowest polymorph listed for this composition**: 0.0 meV/atom

Lattice parameters (Å, degrees): 4.3864 4.3864 4.3864 60.00 60.00 60.00
Closest atoms and distances in Å follow each position.
Atoms (fractional coordinates):
Au 0.5000 0.5000 0.5000  4 Fe 2.69, 4 Pt 2.69
Si 0.0000 0.0000 0.0000  4 Fe 2.69, 4 Pt 2.69
Pt 0.2500 0.2500 0.2500  4 Au 2.69, 4 Si 2.69
Fe 0.7500 0.7500 0.7500  4 Au 2.69, 4 Si 2.69

***

Entry 5:
Computed, not measured: TbGa2NiPt after structural relaxation at the PBE-GGA level of DFT.

Calculated values
**Energy**: -52.31 eV for the cell shown
**Energy relative to the lowest polymorph listed for this composition**: 3.7 meV/atom

Lattice parameters (Å, degrees): 4.1245 4.1245 10.1176 90.00 90.00 90.00
Closest atoms and distances in Å follow each position.
Atoms (fractional coordinates):
Pt 0.5000 0.5000 0.0000  4 Ga 2.55
Pt 0.0000 0.0000 0.0000  4 Ga 2.55
Ni 0.0000 0.5000 0.3759  5 Ga 2.30-2.41
Ga 0.0000 0.0000 0.5000  4 Ni 2.41
Ga 0.5000 0.0000 0.8513  1 Ni 2.30, 4 Pt 2.55
Tb 0.5000 0.0000 0.2602  8 Ga 3.13-3.18, 4 Ni 3.14, 4 Pt 3.34
Ga 0.5000 0.5000 0.5000  4 Ni 2.41
Ni 0.5000 0.0000 0.6241  5 Ga 2.30-2.41
Ga 0.0000 0.5000 0.1487  1 Ni 2.30, 4 Pt 2.55
Tb 0.0000 0.5000 0.7398  8 Ga 3.13-3.18, 4 Ni 3.14, 4 Pt 3.34

***

Entry 6:
Computed, not measured: SmYNO after structural relaxation at the PBE-GGA level of DFT.

Calculated values
**Energy**: -66.00 eV for the cell shown
**Energy relative to the lowest polymorph listed for this composition**: 89.8 meV/atom

Lattice parameters (Å, degrees): 4.0199 4.9867 6.9618 90.00 90.00 90.00
Closest atoms and distances in Å follow each position.
Atoms (fractional coordinates):
Sm 0.0000 0.9387 0.6662  2 O 2.34, 3 N 2.35-2.50
N 0.0000 0.4395 0.6711  2 Y 2.30, 3 Sm 2.35-2.50
Sm 0.0000 0.4387 0.3338  2 O 2.34, 3 N 2.35-2.50
N 0.0000 0.9395 0.3289  2 Y 2.30, 3 Sm 2.35-2.50
O 0.5000 0.9372 0.8389  3 Y 2.29-2.50, 2 Sm 2.34
Y 0.5000 0.4387 0.8317  3 O 2.29-2.50, 2 N 2.30
O 0.5000 0.4372 0.1611  3 Y 2.29-2.50, 2 Sm 2.34
Y 0.5000 0.9387 0.1683  3 O 2.29-2.50, 2 N 2.30

***

Entry 7:
Computed, not measured: CsTm2Cu3Se4S after structural relaxation at the PBE-GGA level of DFT.

Calculated values
**Energy**: -103.21 eV for the cell shown

Lattice parameters (Å, degrees): 7.6096 7.6096 17.0206 90.00 90.00 149.03
Closest atoms and distances in Å follow each position.
Atoms (fractional coordinates):
Se 0.0620 0.9381 0.1137  3 Cu 2.50-2.73
Cu 0.0834 0.9166 0.5319  4 Se 2.49-2.55, 1 Cu 2.68
Se 0.9381 0.0620 0.8863  3 Cu 2.50-2.73
Cu 0.1606 0.8394 0.2500  2 S 2.28
S 0.2691 0.7309 0.7500  2 Cu 2.28
Cu 0.9166 0.0834 0.0319  4 Se 2.49-2.55, 1 Cu 2.68
Cs 0.4339 0.5661 0.2500  6 Se 3.43-3.61, 2 S 3.60
Tm 0.3070 0.6930 0.5951  1 S 2.69, 5 Se 2.81-2.88
Tm 0.6930 0.3070 0.4049  1 S 2.69, 5 Se 2.81-2.88
Tm 0.3070 0.6930 0.9049  1 S 2.69, 5 Se 2.81-2.88
Se 0.6706 0.3294 0.9303  2 Cu 2.49
Se 0.9381 0.0620 0.6137  3 Cu 2.50-2.73
Se 0.3294 0.6706 0.4303  2 Cu 2.49
Cs 0.5661 0.4339 0.7500  6 Se 3.43-3.61, 2 S 3.60
Cu 0.9166 0.0834 0.4681  4 Se 2.49-2.55, 1 Cu 2.68
Cu 0.0834 0.9166 0.9681  4 Se 2.49-2.55, 1 Cu 2.68
Se 0.3294 0.6706 0.0697  2 Cu 2.49
Se 0.0620 0.9381 0.3863  3 Cu 2.50-2.73
Tm 0.6930 0.3070 0.0951  1 S 2.69, 5 Se 2.81-2.88
S 0.7309 0.2691 0.2500  2 Cu 2.28
Se 0.6706 0.3294 0.5697  2 Cu 2.49
Cu 0.8394 0.1606 0.7500  2 S 2.28

***

Entry 8:
Computed, not measured: AlCo12 after structural relaxation at the PBE-GGA level of DFT.

Calculated values
**Energy**: -88.24 eV for the cell shown

Lattice parameters (Å, degrees): 8.4770 8.4770 8.4770 31.34 31.34 31.34
Closest atoms and distances in Å follow each position.
Atoms (fractional coordinates):
Co 0.0885 0.5809 0.0885  8 Co 2.25-2.48, 1 Al 2.37
Co 0.8332 0.8332 0.8332  9 Co 2.45-2.64
Co 0.0885 0.0885 0.5809  8 Co 2.25-2.48, 1 Al 2.37
Al 0.0000 0.0000 0.0000  6 Co 2.37
Co 0.9115 0.4191 0.9115  8 Co 2.25-2.48, 1 Al 2.37
Co 0.4191 0.9115 0.9115  8 Co 2.25-2.48, 1 Al 2.37
Co 0.9115 0.9115 0.4191  8 Co 2.25-2.48, 1 Al 2.37
Co 0.6504 0.6504 0.6504  13 Co 2.51-2.77, 3 Al 2.67
Co 0.3496 0.3496 0.3496  13 Co 2.51-2.77, 3 Al 2.67
Co 0.5466 0.5466 0.5466  8 Co 2.25-2.51
Co 0.5809 0.0885 0.0885  8 Co 2.25-2.48, 1 Al 2.37
Co 0.4534 0.4534 0.4534  8 Co 2.25-2.51
Co 0.1668 0.1668 0.1668  9 Co 2.45-2.64

***

Entry 9:
Computed, not measured: NbFeSb after structural relaxation at the PBE-GGA level of DFT.

Calculated values
**Energy**: -23.57 eV for the cell shown

Lattice parameters (Å, degrees): 4.2134 4.2134 4.2134 120.00 90.00 120.00
Closest atoms and distances in Å follow each position.
Atoms (fractional coordinates):
Nb 0.0000 0.0000 0.0000  4 Fe 2.58
Sb 0.5000 0.0000 0.5000  4 Fe 2.58
Fe 0.7500 0.5000 0.2500  4 Sb 2.58, 4 Nb 2.58

***

Entry 10:
Computed, not measured: NaHfCuTeS2 after structural relaxation at the PBE-GGA level of DFT.

Calculated values
**Energy**: -64.94 eV for the cell shown
**Energy relative to the lowest polymorph listed for this composition**: 8.4 meV/atom

Lattice parameters (Å, degrees): 7.6901 3.8072 9.4630 90.00 109.50 90.00
Closest atoms and distances in Å follow each position.
Atoms (fractional coordinates):
Cu 0.4090 0.7500 0.4074  3 S 2.37-2.54, 1 Te 2.58, 2 Cu 2.65
Te 0.5516 0.2500 0.8532  1 Cu 2.58, 2 Hf 2.87
S 0.2477 0.2500 0.4465  3 Cu 2.37-2.54, 1 Hf 2.52
Hf 0.8209 0.7500 0.8327  4 S 2.52-2.68
Cu 0.5910 0.2500 0.5926  3 S 2.37-2.54, 1 Te 2.58, 2 Cu 2.65
S 0.7524 0.7500 0.5535  3 Cu 2.37-2.54, 1 Hf 2.52
S 0.9461 0.7500 0.1336  3 Hf 2.56-2.68
Hf 0.1791 0.2500 0.1673  4 S 2.52-2.68
Na 0.8003 0.2500 0.3242  5 S 3.00-3.24, 2 Te 3.28
Te 0.4484 0.7500 0.1468  1 Cu 2.58, 2 Hf 2.87
S 0.0539 0.2500 0.8664  3 Hf 2.56-2.68
Na 0.1997 0.7500 0.6758  5 S 3.00-3.24, 2 Te 3.28

***

Entry 11:
Computed, not measured: CoSiHgMo after structural relaxation at the PBE-GGA level of DFT.

Calculated values
**Energy**: -21.86 eV for the cell shown
**Energy relative to the lowest polymorph listed for this composition**: 0.0 meV/atom

Lattice parameters (Å, degrees): 4.3877 4.3877 4.3877 60.00 60.00 60.00
Closest atoms and distances in Å follow each position.
Atoms (fractional coordinates):
Si 0.0000 0.0000 0.0000  4 Co 2.69, 4 Mo 2.69
Co 0.7500 0.7500 0.7500  4 Hg 2.69, 4 Si 2.69
Hg 0.5000 0.5000 0.5000  4 Mo 2.69, 4 Co 2.69
Mo 0.2500 0.2500 0.2500  4 Hg 2.69, 4 Si 2.69

***

Entry 12:
Computed, not measured: Hf2BiO4 after structural relaxation at the PBE-GGA level of DFT.

Calculated values
**Energy**: -119.18 eV for the cell shown

Lattice parameters (Å, degrees): 6.7255 6.7255 6.7255 120.00 90.01 120.00
Closest atoms and distances in Å follow each position.
Atoms (fractional coordinates):
Hf 0.8750 0.2500 0.6250  6 O 2.14
Bi 0.7500 0.5000 0.2500  4 O 2.53
O 0.5963 0.8075 0.4038  3 Hf 2.14
O 0.5963 0.1925 0.7887  3 Hf 2.14
O 0.1537 0.3075 0.4613  3 Hf 2.14
O 0.2113 0.8075 0.4037  3 Hf 2.14
Hf 0.3750 0.2500 0.6250  6 O 2.14
Bi 0.0000 0.0000 0.0000  4 O 2.53
O 0.5387 0.6925 0.8463  3 Hf 2.14
O 0.1537 0.6925 0.8462  3 Hf 2.14
O 0.5962 0.1925 0.4037  3 Hf 2.14
Hf 0.3750 0.7500 0.1250  6 O 2.14
Hf 0.3750 0.7500 0.6250  6 O 2.14
O 0.1538 0.3075 0.8463  3 Hf 2.14

***

Q: Which total moment values were calculated for the entries above? A: 0.0; 0.0; 0.0; 2.6; 0.0; 0.0; 0.0; 18.5; 0.0; 0.0; 0.2; 0.0, in μB/f.u..